1.
This record from Alexandria via LeMat-Bulk describes an optimized crystal structure of Pm4InSi. The functional is PBE.

```
Pm4InSi
1.0
5.859 0.000 0.000
0.000 6.898 0.000
-1.495 0.000 8.655
Pm In Si
8 2 2
Cartesian
0.824 1.725 0.405 Pm
0.541 5.174 3.159 Pm
0.894 3.548 6.464 Pm
0.894 6.800 6.464 Pm
3.470 0.098 2.190 Pm
3.470 3.351 2.190 Pm
3.823 1.725 5.495 Pm
3.540 5.174 8.250 Pm
0.724 1.725 3.622 In
3.639 5.174 5.032 In
1.975 5.174 0.359 Si
2.388 1.725 8.296 Si
```

Calculated volume, A^3/atom: 29.1
Density of states at the Fermi level, states/eV/f.u.: 5.27
Polymorph energy (0 for the lowest one), meV/atom: 0.0
SG: P2_1/m
Uncorrected formation energy, eV/atom: -0.4090

2.
This record from Alexandria via LeMat-Bulk describes an optimized crystal structure of TlInHg2I. The functional is PBE.

```
TlInHg2I
1.0
5.607 0.000 0.000
0.000 5.607 0.000
0.000 0.000 6.042
Tl In Hg I
1 1 2 1
Cartesian
0.000 0.000 0.000 Tl
0.000 0.000 3.021 In
0.000 2.803 3.021 Hg
2.803 0.000 3.021 Hg
2.803 2.803 0.000 I
```

Calculated volume, A^3/atom: 38.0
Density of states at the Fermi level, states/eV/f.u.: 1.97
SG: P4/mmm
Uncorrected formation energy, eV/atom: -0.0861

3.
This record from Alexandria via LeMat-Bulk describes an optimized crystal structure of Ca5Sn2Bi. The functional is PBE.

```
Ca5Sn2Bi
1.0
-4.107 4.107 7.622
4.107 -4.107 7.622
4.107 4.107 -7.622
Ca Sn Bi
10 4 2
Cartesian
0.000 0.000 0.000 Ca
5.482 1.374 -2.198 Ca
1.374 2.733 -2.198 Ca
5.482 1.374 2.198 Ca
1.374 2.733 2.198 Ca
0.000 0.000 7.622 Ca
2.733 1.374 5.424 Ca
-1.374 2.733 5.424 Ca
2.733 1.374 9.820 Ca
-1.374 2.733 9.820 Ca
3.057 1.050 0.000 Sn
3.057 -1.050 7.622 Sn
1.050 5.158 0.000 Sn
1.050 3.057 7.622 Sn
0.000 0.000 3.811 Bi
0.000 0.000 11.433 Bi
```

Calculated volume, A^3/atom: 32.1
Density of states at the Fermi level, states/eV/f.u.: 2.00
SG: I4/mcm
ΔH_f (0 K), eV per atom: -0.72

4.
This record from Alexandria via LeMat-Bulk describes an optimized crystal structure of CsHPbCl6. The functional is PBE.

```
CsHPbCl6
1.0
6.847 0.000 0.000
-3.235 6.514 0.000
-0.044 -1.695 7.116
Cs H Pb Cl
1 1 1 6
Cartesian
0.000 0.000 0.000 Cs
-0.700 3.967 3.679 H
4.216 0.783 4.179 Pb
-1.446 1.671 6.242 Cl
-1.279 3.290 2.703 Cl
0.009 5.202 5.266 Cl
3.476 0.477 1.785 Cl
2.340 2.346 4.640 Cl
6.386 -0.357 3.577 Cl
```

Calculated volume, A^3/atom: 35.3
SG: P1

5.
This record from Alexandria via LeMat-Bulk describes an optimized crystal structure of BaTiBe3. The functional is PBE.

```
BaTiBe3
1.0
4.802 0.000 0.000
0.000 4.802 0.000
0.000 0.000 4.802
Ba Ti Be
1 1 3
Cartesian
0.000 0.000 0.000 Ba
2.401 2.401 2.401 Ti
0.000 0.000 2.401 Be
0.000 2.401 0.000 Be
2.401 0.000 0.000 Be
```

Calculated volume, A^3/atom: 22.1
Density of states at the Fermi level, states/eV/f.u.: 4.60
Polymorph energy (0 for the lowest one), meV/atom: 1342.2
SG: Pm-3m
ΔH_f (0 K), eV per atom: 2.28

6.
This record from Alexandria via LeMat-Bulk describes an optimized crystal structure of Dy4PtS3. The functional is PBE.

```
Dy4PtS3
1.0
4.022 -5.639 0.000
4.022 5.639 0.000
0.000 0.000 3.900
Dy Pt S
4 1 3
Cartesian
4.022 2.836 0.000 Dy
2.025 0.000 1.950 Dy
6.019 0.000 1.950 Dy
4.022 -2.836 0.000 Dy
4.022 0.000 0.000 Pt
0.000 0.000 0.000 S
2.011 2.819 1.950 S
2.011 -2.819 1.950 S
```

Calculated volume, A^3/atom: 22.1
Density of states at the Fermi level, states/eV/f.u.: 3.62
SG: Cmmm
Uncorrected formation energy, eV/atom: -1.7729

7.
This record from Alexandria via LeMat-Bulk describes an optimized crystal structure of Co2IrSe. The functional is PBE.

```
Co2IrSe
1.0
-1.932 1.932 3.589
1.932 -1.932 3.589
1.932 1.932 -3.589
Co Ir Se
2 1 1
Cartesian
1.932 0.000 1.794 Co
0.000 1.932 1.794 Co
0.000 0.000 0.000 Ir
0.000 0.000 3.589 Se
```

Calculated volume, A^3/atom: 13.4
Density of states at the Fermi level, states/eV/f.u.: 5.04
SG: I4/mmm
Uncorrected formation energy, eV/atom: 0.3978

8.
This record from Alexandria via LeMat-Bulk describes an optimized crystal structure of BaLi4InPb2. The functional is PBE.

```
BaLi4InPb2
1.0
2.453 1.416 9.630
-2.453 1.416 9.630
0.000 -2.832 9.630
Ba Li In Pb
1 4 1 2
Cartesian
0.000 0.000 0.000 Ba
0.000 0.000 3.827 Li
0.000 0.000 11.781 Li
0.000 0.000 17.109 Li
0.000 0.000 25.063 Li
0.000 0.000 14.445 In
0.000 0.000 7.115 Pb
0.000 0.000 21.776 Pb
```

Calculated volume, A^3/atom: 25.1
Density of states at the Fermi level, states/eV/f.u.: 2.94
SG: R-3m
ΔH_f (0 K), eV per atom: -0.32

9.
This record from Alexandria via LeMat-Bulk describes an optimized crystal structure of KSnW2. The functional is PBE.

```
KSnW2
1.0
-2.333 2.333 10.112
2.333 -2.333 10.112
2.333 2.333 -10.112
K Sn W
2 2 4
Cartesian
0.000 0.000 0.000 K
0.000 2.333 5.056 K
2.333 0.000 5.056 Sn
0.000 0.000 10.112 Sn
1.167 -0.395 7.584 W
1.938 1.167 2.528 W
1.167 2.729 -2.528 W
0.395 1.167 12.640 W
```

Calculated volume, A^3/atom: 27.5
Density of states at the Fermi level, states/eV/f.u.: 4.27
SG: I-42d
ΔH_f (0 K), eV per atom: 1.52

10.
This record from Alexandria via LeMat-Bulk describes an optimized crystal structure of MgCuWC2. The functional is PBE.

```
MgCuWC2
1.0
3.844 0.000 0.000
0.000 3.844 0.000
0.000 0.000 4.367
Mg Cu W C
1 1 1 2
Cartesian
0.000 0.000 0.000 Mg
0.000 0.000 2.184 Cu
1.922 1.922 0.000 W
0.000 1.922 2.184 C
1.922 0.000 2.184 C
```

Calculated volume, A^3/atom: 12.9
Density of states at the Fermi level, states/eV/f.u.: 4.45
SG: P4/mmm
ΔH_f (0 K), eV per atom: 2.41

11.
This record from Alexandria via LeMat-Bulk describes an optimized crystal structure of CrInCl. The functional is PBE.

```
CrInCl
1.0
0.000 3.408 3.408
3.408 0.000 3.408
3.408 3.408 0.000
Cr In Cl
1 1 1
Cartesian
0.000 0.000 0.000 Cr
1.704 1.704 1.704 In
5.112 5.112 5.112 Cl
```

Calculated volume, A^3/atom: 26.4
Density of states at the Fermi level, states/eV/f.u.: 2.20
Polymorph energy (0 for the lowest one), meV/atom: 361.6
SG: F-43m
Uncorrected formation energy, eV/atom: 0.3157

12.
This record from Alexandria via LeMat-Bulk describes an optimized crystal structure of NiIrRu2. The functional is PBE.

```
NiIrRu2
1.0
3.761 0.000 0.000
0.000 3.761 0.000
0.000 0.000 3.810
Ni Ir Ru
1 1 2
Cartesian
0.000 0.000 0.000 Ni
1.880 1.880 0.000 Ir
0.000 1.880 1.905 Ru
1.880 0.000 1.905 Ru
```

Calculated volume, A^3/atom: 13.5
Density of states at the Fermi level, states/eV/f.u.: 6.67
Polymorph energy (0 for the lowest one), meV/atom: 105.8
SG: P4/mmm
ΔH_f (0 K), eV per atom: 0.14

Taking the records one at a time from the top gives electronic total energy values of -0.1814 -0.0565 -0.1270 -0.1121 -0.0705 -0.2343 -0.2294 -0.1023 -0.2289 -0.1841 -0.1624 -0.2997 hartree per atom.